## Li2Bi3PbS6 (PBE)

Data for Li2Bi3PbS6 after structural relaxation.

The uncorrected formation energy comes out at -6.798 eV/f.u. The calculation puts the mass density at 6.02 Mg/m³. As for the electronic total energy: -50.74 eV per cell.

abc: 8.9348 8.9348 8.2614
angles: 98.72 98.72 26.15
Last column: nearest neighbours and their distance in Å.
Element x y z (fractional)
Li1 0.1715 0.1715 0.3089  4 S 2.61-2.80
Li2 0.8285 0.8285 0.6911  4 S 2.61-2.80
Bi1 0.1656 0.1656 0.8368  5 S 2.70-2.97
Bi2 0.5000 0.5000 0.5000  6 S 2.82-2.89
Bi3 0.8344 0.8344 0.1632  5 S 2.70-2.97
Pb1 0.5000 0.5000 0.0000  6 S 3.00-3.07
S1 0.0198 0.0198 0.2723  1 Li 2.61, 2 Bi 2.82
S2 0.3225 0.3225 0.8970  2 Li 2.65, 3 Bi 2.70-2.97
S3 0.3335 0.3335 0.3938  3 Bi 2.78-2.89, 1 Li 2.80
S4 0.6665 0.6665 0.6062  3 Bi 2.78-2.89, 1 Li 2.80
S5 0.6775 0.6775 0.1030  2 Li 2.65, 3 Bi 2.70-2.97
S6 0.9802 0.9802 0.7277  1 Li 2.61, 2 Bi 2.82